Crystalline CoAsO2 at its relaxed geometry. Source: Alexandria via LeMat-Bulk, functional PBE with a Hubbard U.

Cell and atoms, written as POSCAR:
```
CoAsO2
1.0
2.8726 0.0000 0.0000
-1.4363 2.4877 0.0000
0.0000 0.0000 18.4181
Co As O
3 3 6
Direct
0.0000 0.0000 0.0000
0.3333 0.6667 0.6667
0.6667 0.3333 0.3333
0.0000 0.0000 0.5000
0.3333 0.6667 0.1667
0.6667 0.3333 0.8333
0.0000 0.0000 0.3864
0.0000 0.0000 0.6136
0.3333 0.6667 0.0531
0.3333 0.6667 0.2802
0.6667 0.3333 0.7198
0.6667 0.3333 0.9469
```

Results
Energy: -5.65 eV per atom
M_tot: 0.0 μB per cell
Density of states at the Fermi level: 0.205 states/eV/atom